Record 1
The following is a DFT calculation (PBE-GGA) of crystalline AcPu2ThAs4 at its relaxed geometry.

## Properties
The formation energy is -1.20 eV per atom. For the magnetic moment, the calculation gives 0.22 μB per formula unit. The total energy is -0.314 Ha/atom. The value obtained for the density of states at the Fermi level is 28.79 states/eV/cell.

Cell lengths 7.370, 4.283, 7.444 Å; angles 90.00, 109.67, 90.00 degrees
Space group P2/m (No. 10)
One atom of each set of equivalent atoms:
Ac: 0.000 0.000 0.000 (multiplicity 1)
Pu: 0.500 0.000 0.500 (multiplicity 1)
Pu: 0.500 0.500 0.000 (multiplicity 1)
Th: 0.000 0.500 0.500 (multiplicity 1)
As: 0.261 0.000 0.745 (multiplicity 2)
As: 0.268 0.500 0.268 (multiplicity 2)

---

Record 2
The following is a DFT calculation (PBE-GGA) of crystalline AcTm2PuAs4 at its relaxed geometry.

## Properties
The formation energy is -1.32 eV per atom. For the magnetic moment, the calculation gives 4.95 μB per formula unit. The total energy is -0.260 Ha/atom. The value obtained for the density of states at the Fermi level is 14.36 states/eV/cell.

Cell lengths 7.290, 4.217, 7.297 Å; angles 90.00, 109.46, 90.00 degrees
Space group P2/m (No. 10)
One atom of each set of equivalent atoms:
Ac: 0.000 0.000 0.000 (multiplicity 1)
Tm: 0.500 0.000 0.500 (multiplicity 1)
Tm: 0.500 0.500 0.000 (multiplicity 1)
Pu: 0.000 0.500 0.500 (multiplicity 1)
As: 0.261 0.000 0.743 (multiplicity 2)
As: 0.270 0.500 0.267 (multiplicity 2)

---

- Among the records above, which one has the lowest magnetic moment?
  AcPu2ThAs4